Material: SrLiGdSn
Method: DFT, PBE
State: optimized geometry

abc: 7.762 7.762 7.762
angles: 90.00 90.00 90.00
Space group F-43m (No. 216)
Symmetry-distinct sites (fractional):
Sr1 0.000 0.000 0.000 (multiplicity 4)
Li1 0.250 0.250 0.250 (multiplicity 4)
Gd1 0.000 0.000 0.500 (multiplicity 4)
Sn1 0.250 0.250 0.750 (multiplicity 4)

Summary:
Formation energy from the elements   -0.36 eV per atom